1.
A plane-wave DFT calculation with PBE was carried out for an optimized crystal structure of Li2MnCu.

Output
Total moment in μB/cell: 3.691

Cell: 4.9005 4.9005 4.4857 Å, 103.67 103.67 32.29°
Sites, in units of the cell vectors:
Li1 0.2375 0.2375 0.2373
Li2 0.7625 0.7625 0.7627
Mn1 0.0000 0.0000 0.5000
Cu1 0.5000 0.5000 0.0000

***

2.
A plane-wave DFT calculation with PBE was carried out for an optimized crystal structure of Li2MnCu.

Output
Total moment in μB/cell: 2.634

Cell: 2.5440 2.5440 8.9910 Å, 90.00 90.00 115.63°
Sites, in units of the cell vectors:
Li1 0.0000 0.0000 0.2455
Li2 0.0000 0.0000 0.7545
Mn1 0.5000 0.5000 0.5000
Cu1 0.5000 0.5000 0.0000

***

no.,energy relative to the lowest polymorph listed for this composition (meV/atom)
1,0
2,44